Entry 1:
Material: Li3Au5
Method: DFT, GGA-PBEsol
State: optimized geometry

abc: 7.3331 7.3331 5.1902
angles: 90.00 90.00 120.00
Last column: nearest neighbours and their distance in Å.
Space group P6_3/mcm (No. 193)
One atom of each set of equivalent atoms:
1 Li 0.0000 0.4035 0.2500 [6 per cell]  7 Au 2.57-2.69
2 Au 0.0000 0.2293 0.7500 [6 per cell]  3 Li 2.57-2.69
3 Au 0.3333 0.6667 0.0000 [4 per cell]  6 Li 2.58, 2 Au 2.60

Results
Its distance to the lowest polymorph of the same formula is 0.9 kJ per mole of atoms.

***

Entry 2:
Material: BaLaPb2
Method: DFT, GGA-PBEsol
State: optimized geometry

abc: 4.8449 4.8449 11.1205
angles: 90.00 90.00 90.00
Last column: nearest neighbours and their distance in Å.
Space group I-4m2 (No. 119)
One atom of each set of equivalent atoms:
1 Ba 0.0000 0.0000 0.0000 [2 per cell]  8 Pb 3.43-3.69, 4 La 3.69
2 La 0.0000 0.5000 0.2500 [2 per cell]  8 Pb 3.43-3.69, 4 Ba 3.69
3 Pb 0.0000 0.0000 0.5000 [2 per cell]  4 Ba 3.43, 4 La 3.69, 4 Pb 3.69
4 Pb 0.0000 0.5000 0.7500 [2 per cell]  4 La 3.43, 4 Pb 3.69, 4 Ba 3.69

Results
The calculation puts the final energy at -34.6 eV/cell.

***

Entry 3:
Material: ZnRe2Au
Method: DFT, GGA-PBEsol
State: optimized geometry

abc: 4.6644 4.6644 2.7366
angles: 90.00 90.00 90.00
Last column: nearest neighbours and their distance in Å.
Space group P4/mmm (No. 123)
One atom of each set of equivalent atoms:
1 Zn 0.0000 0.0000 0.0000 [1 per cell]  8 Re 2.70, 2 Zn 2.74
2 Re 0.0000 0.5000 0.5000 [2 per cell]  4 Zn 2.70, 4 Au 2.70, 2 Re 2.74
3 Au 0.5000 0.5000 0.0000 [1 per cell]  8 Re 2.70, 2 Au 2.74

Results
The calculation puts the final energy at -29.5 eV/cell.

***

Entry 4:
Material: K2SrTe
Method: DFT, GGA-PBEsol
State: optimized geometry

abc: 5.0963 5.0963 6.2843
angles: 90.00 90.00 90.00
Last column: nearest neighbours and their distance in Å.
Space group P4/mmm (No. 123)
One atom of each set of equivalent atoms:
1 K 0.0000 0.5000 0.0000 [2 per cell]  4 K 3.60
2 Sr 0.0000 0.0000 0.5000 [1 per cell]  4 Te 3.60
3 Te 0.5000 0.5000 0.5000 [1 per cell]  4 Sr 3.60

Results
The calculation puts the final energy at -9.8 eV/cell.

***

Entry 5:
Material: Zn2AgAsF
Method: DFT, GGA-PBEsol
State: optimized geometry

abc: 4.8946 4.8946 4.0120
angles: 90.00 90.00 90.00
Last column: nearest neighbours and their distance in Å.
Space group P4/mmm (No. 123)
One atom of each set of equivalent atoms:
1 Zn 0.0000 0.5000 0.0000 [2 per cell]  2 Ag 2.45
2 Ag 0.0000 0.0000 0.0000 [1 per cell]  2 F 2.01
3 As 0.5000 0.5000 0.5000 [1 per cell]  8 Zn 3.16, 4 F 3.46
4 F 0.0000 0.0000 0.5000 [1 per cell]  2 Ag 2.01

Results
The calculation puts the final energy at -12.6 eV/cell.

***

Entry 6:
Material: TaAgHg2
Method: DFT, GGA-PBEsol
State: optimized geometry

abc: 2.8803 4.1073 6.2532
angles: 90.00 90.00 90.00
Last column: nearest neighbours and their distance in Å.
Space group Pmmm (No. 47)
One atom of each set of equivalent atoms:
1 Ta 0.0000 0.0000 0.0000 [1 per cell]  2 Ta 2.88, 8 Hg 2.95, 2 Ag 3.13
2 Ag 0.0000 0.0000 0.5000 [1 per cell]  2 Ag 2.88, 8 Hg 2.96, 2 Ta 3.13
3 Hg 0.5000 0.5000 0.2487 [2 per cell]  4 Hg 2.88-3.14, 4 Ta 2.95, 4 Ag 2.96

Results
The calculation puts the final energy at -15.8 eV/cell.